1.
PBE Er5Tm3, optimized geometry; SG = Pmm2; magnetization = 0.00 μB per cell; crystal system = orthorhombic; energy relative to the elements = -0.004 eV per atom; volume = 243.9 Å³/cell
1.0
3.570 0.000 0.000
0.000 5.527 0.000
0.000 0.000 12.364
Er Tm
5 3
direct
0.500 0.500 0.041
0.000 0.500 0.292
0.000 0.000 0.460
0.000 0.000 0.958
0.500 0.000 0.209
0.500 0.500 0.542
0.000 0.500 0.791
0.500 0.000 0.708

2.
PBE ReMo2Se, optimized geometry; SG = F-43m; magnetization = 0.00 μB per cell; raw formation energy = 0.53 eV per atom; crystal system = cubic; volume = 63.1 Å³/cell
1.0
4.468 0.000 0.000
2.234 3.870 0.000
2.234 1.290 3.648
Se Re Mo
1 1 2
direct
0.750 0.750 0.750
0.500 0.500 0.500
0.000 0.000 0.000
0.250 0.250 0.250

3.
PBE Dy2TmNp, optimized geometry; SG = R-3m; magnetization = 4.74 μB per cell; crystal system = trigonal; energy relative to the elements = 0.452 eV per atom; volume = 119.4 Å³/cell
1.0
3.362 0.000 0.000
1.681 2.912 0.000
1.681 0.971 12.198
Np Dy Tm
1 2 1
direct
0.000 0.000 0.000
0.089 0.089 0.732
0.911 0.911 0.268
0.500 0.500 0.500

4.
PBE LaScP2, optimized geometry; SG = Immm; magnetization = 0.00 μB per cell; energy relative to the lowest polymorph listed for this composition = 382.8 meV/atom; crystal system = orthorhombic; energy relative to the elements = -1.093 eV per atom; volume = 88.0 Å³/cell
1.0
-3.926 -2.170 2.353
1.679 -4.595 -1.312
2.192 3.549 2.873
P Sc La
2 1 1
direct
0.977 0.977 0.000
0.523 0.523 0.000
0.750 0.250 0.500
0.250 0.750 0.500

5.
PBE Ta2Hg3, optimized geometry; SG = I4/mmm; magnetization = 0.00 μB per cell; energy relative to the lowest polymorph listed for this composition = 0.0 meV/atom; crystal system = tetragonal; energy relative to the elements = 0.287 eV per atom; volume = 102.8 Å³/cell
1.0
0.971 0.041 11.985
3.253 3.405 11.063
-3.816 -0.531 -11.390
Ta Hg
2 3
direct
0.704 0.704 0.000
0.296 0.296 0.000
0.500 0.500 0.000
0.108 0.108 0.000
0.892 0.892 0.000

6.
PBE KCuGe3, optimized geometry; SG = Pm-3m; magnetization = 0.00 μB per cell; energy relative to the lowest polymorph listed for this composition = 1563.6 meV/atom; crystal system = cubic; energy relative to the elements = 1.893 eV per atom; volume = 164.5 Å³/cell
1.0
5.479 0.000 0.000
0.000 5.479 0.000
0.000 0.000 5.479
Ge K Cu
3 1 1
direct
0.000 0.500 0.000
0.000 0.000 0.500
0.500 0.000 0.000
0.000 0.000 0.000
0.500 0.500 0.500